Below is crystalline Y2NiAgN at its relaxed geometry, with properties calculated at the GGA-PBE level.

Structure (extended XYZ):
```
5
Lattice="-2.913 -0.452 3.883 -3.135 -2.623 -2.658 1.815 -3.174 0.992" Properties=species:S:1:pos:R:3 pbc="T T T"
Y -1.457 -0.226 1.942
Y -1.568 -1.311 -1.329
Ag -2.117 -3.125 1.109
Ni 0.908 -1.587 0.496
N 0.000 0.000 0.000
```

Polymorph energy (0 for the lowest one) = 0.0 kJ per mole of atoms
Formation energy (no corrections) = -0.691 eV per atom
Calculated volume = 90.1 Å³/cell